1.
DFT (GGA-PBE) results for an optimized crystal structure of PaTiTcSn.

abc: 4.763 4.763 4.763
angles: 60.00 60.00 60.00
Fractional coordinates of all 4 atoms:
1 Pa 0.000 0.000 0.000
2 Ti 0.250 0.250 0.250
3 Sn 0.500 0.500 0.500
4 Tc 0.750 0.750 0.750

Properties
- VASP energy: -8.163 eV per atom

2.
DFT (GGA-PBE) results for an optimized crystal structure of TmPaTcSn.

abc: 5.064 5.064 5.064
angles: 60.00 60.00 60.00
Fractional coordinates of all 4 atoms:
1 Pa 0.000 0.000 0.000
2 Tm 0.500 0.500 0.500
3 Sn 0.250 0.250 0.250
4 Tc 0.750 0.750 0.750

Properties
- VASP energy: -7.140 eV per atom

3.
DFT (GGA-PBE) results for an optimized crystal structure of Pa2SnTe.

abc: 4.022 4.022 8.632
angles: 76.53 76.53 60.00
Fractional coordinates of all 4 atoms:
1 Pa 0.081 0.081 0.756
2 Pa 0.252 0.252 0.243
3 Sn 0.667 0.667 0.000
4 Te 0.500 0.500 0.501

Properties
- Formation energy (no corrections): -255 meV/atom

4.
DFT (GGA-PBE) results for an optimized crystal structure of PaSn2Te4.

abc: 4.563 7.953 8.200
angles: 119.16 106.15 90.00
Fractional coordinates of all 7 atoms:
1 Pa 0.000 0.000 0.000
2 Sn 0.740 0.766 0.479
3 Sn 0.260 0.234 0.521
4 Te 0.885 0.224 0.771
5 Te 0.115 0.776 0.229
6 Te 0.614 0.287 0.227
7 Te 0.386 0.713 0.773

Properties
- Formation energy (no corrections): -442 meV/atom

5.
DFT (GGA-PBE) results for an optimized crystal structure of Pa2SnTe8.

abc: 5.886 9.364 9.364
angles: 120.00 90.00 90.00
Fractional coordinates of all 11 atoms:
1 Pa 0.747 0.667 0.333
2 Pa 0.253 0.333 0.667
3 Sn 0.500 0.000 0.000
4 Te 0.751 0.333 0.667
5 Te 0.249 0.667 0.333
6 Te 0.199 0.154 0.309
7 Te 0.801 0.846 0.691
8 Te 0.801 0.309 0.154
9 Te 0.199 0.691 0.846
10 Te 0.199 0.154 0.846
11 Te 0.801 0.846 0.154

Properties
- Formation energy (no corrections): -138 meV/atom

6.
DFT (GGA-PBE) results for an optimized crystal structure of Pa4SnTe5.

abc: 4.252 8.873 9.598
angles: 101.59 102.80 90.00
Fractional coordinates of all 10 atoms:
1 Pa 0.668 0.077 0.336
2 Pa 0.001 0.250 0.003
3 Pa 0.332 0.923 0.664
4 Pa 0.999 0.750 0.997
5 Sn 0.500 0.000 0.000
6 Te 0.168 0.327 0.336
7 Te 0.166 0.816 0.332
8 Te 0.834 0.184 0.668
9 Te 0.500 0.500 0.000
10 Te 0.832 0.673 0.664

Properties
- Formation energy (no corrections): -603 meV/atom

7.
DFT (GGA-PBE) results for an optimized crystal structure of PaSnTe.

abc: 3.717 5.154 5.154
angles: 120.00 90.00 90.00
Fractional coordinates of all 3 atoms:
1 Pa 0.167 0.667 0.333
2 Te 0.167 0.333 0.667
3 Sn 0.667 0.000 0.000

Properties
- Formation energy (no corrections): -153 meV/atom

8.
DFT (GGA-PBE) results for an optimized crystal structure of PaSnTe.

abc: 4.308 4.308 9.422
angles: 103.22 103.22 90.00
Fractional coordinates of all 6 atoms:
1 Pa 0.366 0.366 0.731
2 Pa 0.634 0.634 0.269
3 Sn 0.000 0.500 0.000
4 Sn 0.500 0.000 0.000
5 Te 0.184 0.184 0.368
6 Te 0.816 0.816 0.632

Properties
- Formation energy (no corrections): -638 meV/atom

9.
DFT (GGA-PBE) results for an optimized crystal structure of Pa2SnTe.

abc: 3.668 3.668 7.761
angles: 90.00 90.00 90.00
Fractional coordinates of all 4 atoms:
1 Pa 0.000 0.000 0.751
2 Pa 0.000 0.000 0.249
3 Te 0.500 0.500 0.000
4 Sn 0.500 0.500 0.500

Properties
- Formation energy (no corrections): -364 meV/atom

10.
DFT (GGA-PBE) results for an optimized crystal structure of Pa3Sn5Te12.

abc: 15.628 15.628 15.628
angles: 109.47 109.47 109.47
Fractional coordinates of all 80 atoms:
1 Pa 0.750 0.375 0.125
2 Pa 0.875 0.750 0.125
3 Pa 0.375 0.750 0.625
4 Pa 0.250 0.125 0.375
5 Pa 0.875 0.125 0.250
6 Pa 0.375 0.625 0.250
7 Pa 0.625 0.375 0.750
8 Pa 0.125 0.875 0.750
9 Pa 0.750 0.875 0.625
10 Pa 0.625 0.250 0.375
11 Pa 0.125 0.250 0.875
12 Pa 0.250 0.625 0.875
13 Sn 0.125 0.375 0.250
14 Sn 0.000 0.500 0.000
15 Sn 0.000 0.000 0.000
16 Sn 0.375 0.250 0.125
17 Sn 0.500 0.000 0.500
18 Sn 0.500 0.500 0.000
19 Sn 0.125 0.750 0.375
20 Sn 0.750 0.125 0.875
21 Sn 0.750 0.625 0.375
22 Sn 0.375 0.125 0.750
23 Sn 0.625 0.875 0.250
24 Sn 0.500 0.500 0.500
25 Sn 0.500 0.000 0.000
26 Sn 0.000 0.000 0.500
27 Sn 0.250 0.375 0.625
28 Sn 0.250 0.875 0.125
29 Sn 0.000 0.500 0.500
30 Sn 0.875 0.250 0.625
31 Sn 0.625 0.750 0.875
32 Sn 0.875 0.625 0.750
33 Te 0.725 0.142 0.057
34 Te 0.332 0.557 0.415
35 Te 0.943 0.358 0.275
36 Te 0.557 0.225 0.142
37 Te 0.584 0.725 0.668
38 Te 0.943 0.585 0.168
39 Te 0.332 0.775 0.416
40 Te 0.085 0.916 0.142
41 Te 0.585 0.943 0.668
42 Te 0.725 0.584 0.168
43 Te 0.775 0.443 0.358
44 Te 0.832 0.915 0.057
45 Te 0.142 0.725 0.557
46 Te 0.358 0.415 0.084
47 Te 0.084 0.915 0.358
48 Te 0.416 0.142 0.585
49 Te 0.084 0.168 0.225
50 Te 0.443 0.668 0.085
51 Te 0.832 0.916 0.275
52 Te 0.142 0.416 0.085
53 Te 0.358 0.943 0.775
54 Te 0.585 0.642 0.416
55 Te 0.915 0.832 0.557
56 Te 0.775 0.332 0.916
57 Te 0.415 0.358 0.584
58 Te 0.085 0.168 0.443
59 Te 0.225 0.668 0.084
60 Te 0.168 0.084 0.725
61 Te 0.642 0.057 0.225
62 Te 0.858 0.584 0.915
63 Te 0.557 0.332 0.915
64 Te 0.584 0.858 0.415
65 Te 0.916 0.832 0.775
66 Te 0.916 0.085 0.642
67 Te 0.858 0.275 0.443
68 Te 0.168 0.085 0.943
69 Te 0.642 0.585 0.916
70 Te 0.415 0.057 0.332
71 Te 0.275 0.416 0.832
72 Te 0.225 0.557 0.642
73 Te 0.915 0.084 0.858
74 Te 0.668 0.225 0.584
75 Te 0.443 0.775 0.858
76 Te 0.057 0.415 0.832
77 Te 0.416 0.275 0.332
78 Te 0.057 0.642 0.725
79 Te 0.668 0.443 0.585
80 Te 0.275 0.858 0.943

Properties
- Formation energy (no corrections): -346 meV/atom

11.
DFT (GGA-PBE) results for an optimized crystal structure of PaSnTe.

abc: 3.939 3.939 5.828
angles: 109.75 109.75 90.00
Fractional coordinates of all 3 atoms:
1 Pa 0.662 0.662 0.324
2 Te 0.008 0.008 0.016
3 Sn 0.330 0.330 0.660

Properties
- Formation energy (no corrections): -372 meV/atom

12.
DFT (GGA-PBE) results for an optimized crystal structure of Pa2SnTe.

abc: 5.269 5.269 5.269
angles: 60.00 60.00 60.00
Fractional coordinates of all 4 atoms:
1 Pa 0.250 0.250 0.250
2 Pa 0.750 0.750 0.750
3 Te 0.000 0.000 0.000
4 Sn 0.500 0.500 0.500

Properties
- Formation energy (no corrections): -362 meV/atom

13.
DFT (GGA-PBE) results for an optimized crystal structure of PaSnTe3.

abc: 4.349 7.884 16.463
angles: 133.59 90.00 90.00
Fractional coordinates of all 10 atoms:
1 Pa 0.250 0.340 0.574
2 Pa 0.750 0.660 0.426
3 Sn 0.250 0.957 0.111
4 Sn 0.750 0.043 0.889
5 Te 0.750 0.186 0.644
6 Te 0.750 0.693 0.630
7 Te 0.250 0.814 0.356
8 Te 0.250 0.307 0.370
9 Te 0.250 0.741 0.850
10 Te 0.750 0.259 0.150

Properties
- Formation energy (no corrections): -544 meV/atom

14.
DFT (GGA-PBE) results for an optimized crystal structure of Pa2Sn2Te7.

abc: 4.340 10.119 10.119
angles: 56.76 77.62 77.62
Fractional coordinates of all 11 atoms:
1 Pa 0.000 0.795 0.205
2 Pa 0.500 0.347 0.653
3 Sn 0.761 0.777 0.701
4 Sn 0.239 0.299 0.223
5 Te 0.826 0.066 0.283
6 Te 0.879 0.416 0.827
7 Te 0.500 0.021 0.979
8 Te 0.597 0.525 0.281
9 Te 0.403 0.719 0.475
10 Te 0.174 0.717 0.934
11 Te 0.121 0.173 0.584

Properties
- Formation energy (no corrections): -539 meV/atom

15.
DFT (GGA-PBE) results for an optimized crystal structure of PaSn2Te6.

abc: 7.195 7.195 8.796
angles: 65.86 65.86 60.00
Fractional coordinates of all 9 atoms:
1 Pa 0.333 0.333 0.000
2 Sn 0.727 0.727 0.818
3 Sn 0.606 0.606 0.182
4 Te 0.743 0.390 0.723
5 Te 0.144 0.743 0.723
6 Te 0.390 0.144 0.723
7 Te 0.206 0.556 0.278
8 Te 0.960 0.206 0.278
9 Te 0.556 0.960 0.278

Properties
- Formation energy (no corrections): -224 meV/atom

16.
DFT (GGA-PBE) results for an optimized crystal structure of Pa3Sn2Te3.

abc: 6.017 9.296 9.296
angles: 120.00 90.00 90.00
Fractional coordinates of all 16 atoms:
1 Pa 0.750 0.614 0.000
2 Pa 0.750 0.386 0.386
3 Pa 0.750 0.000 0.614
4 Pa 0.250 0.386 0.000
5 Pa 0.250 0.614 0.614
6 Pa 0.250 0.000 0.386
7 Sn 0.000 0.333 0.667
8 Sn 0.500 0.667 0.333
9 Sn 0.000 0.667 0.333
10 Sn 0.500 0.333 0.667
11 Te 0.750 0.263 0.000
12 Te 0.750 0.737 0.737
13 Te 0.750 0.000 0.263
14 Te 0.250 0.737 0.000
15 Te 0.250 0.263 0.263
16 Te 0.250 0.000 0.737

Properties
- Formation energy (no corrections): -647 meV/atom

17.
DFT (GGA-PBE) results for an optimized crystal structure of PaSnTe.

abc: 3.602 5.030 5.289
angles: 90.00 90.00 90.00
Fractional coordinates of all 3 atoms:
1 Te 0.000 0.500 0.500
2 Pa 0.500 0.000 0.500
3 Sn 0.000 0.000 0.000

Properties
- Formation energy (no corrections): -296 meV/atom

18.
DFT (GGA-PBE) results for an optimized crystal structure of ThPaSnTe.

abc: 5.370 5.370 5.370
angles: 60.00 60.00 60.00
Fractional coordinates of all 4 atoms:
1 Pa 0.000 0.000 0.000
2 Te 0.750 0.750 0.750
3 Sn 0.250 0.250 0.250
4 Th 0.500 0.500 0.500

Properties
- Formation energy (no corrections): -548 meV/atom

19.
DFT (GGA-PBE) results for an optimized crystal structure of PaTl2SnTe4.

abc: 4.508 7.977 8.412
angles: 107.38 90.00 90.00
Fractional coordinates of all 8 atoms:
1 Pa 0.500 0.500 0.000
2 Tl 0.500 0.000 0.500
3 Tl 0.000 0.500 0.500
4 Sn 0.000 0.000 0.000
5 Te 0.500 0.251 0.215
6 Te 0.500 0.749 0.785
7 Te 0.000 0.270 0.786
8 Te 0.000 0.730 0.214

Properties
- Formation energy (no corrections): -523 meV/atom

20.
DFT (GGA-PBE) results for an optimized crystal structure of PaTl3Sn2Te6.

abc: 7.918 7.918 8.357
angles: 99.05 99.05 119.82
Fractional coordinates of all 12 atoms:
1 Pa 0.000 0.000 0.000
2 Tl 0.169 0.831 0.500
3 Tl 0.831 0.169 0.500
4 Tl 0.500 0.500 0.500
5 Sn 0.334 0.666 0.000
6 Sn 0.666 0.334 0.000
7 Te 0.930 0.613 0.788
8 Te 0.757 0.757 0.217
9 Te 0.070 0.387 0.212
10 Te 0.613 0.930 0.788
11 Te 0.243 0.243 0.783
12 Te 0.387 0.070 0.212

Properties
- Formation energy (no corrections): -504 meV/atom

21.
DFT (GGA-PBE) results for an optimized crystal structure of Th3PaSn12.

abc: 4.745 4.745 18.741
angles: 90.00 90.00 90.00
Fractional coordinates of all 16 atoms:
1 Th 0.000 0.000 0.246
2 Th 0.000 0.000 0.500
3 Th 0.000 0.000 0.754
4 Pa 0.000 0.000 0.000
5 Sn 0.500 0.500 0.000
6 Sn 0.500 0.500 0.248
7 Sn 0.500 0.500 0.500
8 Sn 0.500 0.500 0.752
9 Sn 0.500 0.000 0.121
10 Sn 0.500 0.000 0.374
11 Sn 0.500 0.000 0.626
12 Sn 0.500 0.000 0.879
13 Sn 0.000 0.500 0.121
14 Sn 0.000 0.500 0.374
15 Sn 0.000 0.500 0.626
16 Sn 0.000 0.500 0.879

Properties
- VASP energy: -5.399 eV per atom